(1)
The following is a PBE-GGA calculation of CaNdCdBi after structural relaxation, from the Alexandria database.

Computed properties:
**Crystal system**: cubic
**Energy of formation from the pure elements**: -485 meV per atom

Cell lengths 7.8192, 7.8192, 7.8192 Å; angles 90.00, 90.00, 90.00 degrees
Space group F-43m (No. 216)
Symmetry-distinct sites (fractional):
Ca: 0.0000 0.0000 0.0000 [4 per cell]
Nd: 0.0000 0.0000 0.5000 [4 per cell]
Cd: 0.2500 0.2500 0.7500 [4 per cell]
Bi: 0.2500 0.2500 0.2500 [4 per cell]

(2)
The following is a PBE-GGA calculation of CaCdBiO2 after structural relaxation, from the Alexandria database.

Computed properties:
**Crystal system**: tetragonal
**Energy relative to the elements, uncorrected**: -0.23 eV per atom

Cell lengths 4.4730, 4.4730, 6.2935 Å; angles 90.00, 90.00, 90.00 degrees
Space group P4/mmm (No. 123)
Symmetry-distinct sites (fractional):
Ca: 0.0000 0.0000 0.0000 [1 per cell]
Cd: 0.5000 0.5000 0.0000 [1 per cell]
Bi: 0.0000 0.0000 0.5000 [1 per cell]
O: 0.0000 0.5000 0.5000 [2 per cell]

(3)
The following is a PBE-GGA calculation of Ca2CdBiO4 after structural relaxation, from the Alexandria database.

Computed properties:
**Crystal system**: monoclinic
**Energy relative to the elements, uncorrected**: -1.84 eV per atom

Cell lengths 9.3705, 9.5150, 6.9920 Å; angles 90.00, 126.55, 90.00 degrees
Space group C2/c (No. 15)
Symmetry-distinct sites (fractional):
Ca: 0.0000 0.0000 0.0000 [4 per cell]
Ca: 0.2500 0.2500 0.0000 [4 per cell]
Cd: 0.2500 0.2500 0.5000 [4 per cell]
Bi: 0.0000 0.5000 0.0000 [4 per cell]
O: 0.0296 0.2496 0.5507 [8 per cell]
O: 0.2091 0.0022 0.4149 [8 per cell]

(4)
The following is a PBE-GGA calculation of CaCdBiO4 after structural relaxation, from the Alexandria database.

Computed properties:
**Crystal system**: orthorhombic
**Energy relative to the elements, uncorrected**: -1.58 eV per atom

Cell lengths 6.8116, 6.9865, 9.6364 Å; angles 90.00, 90.00, 90.00 degrees
Space group Imma (No. 74)
Symmetry-distinct sites (fractional):
Ca: 0.0000 0.2500 0.1373 [4 per cell]
Cd: 0.2500 0.2500 0.7500 [4 per cell]
Bi: 0.0000 0.0000 0.5000 [4 per cell]
O: 0.0000 0.0190 0.7320 [8 per cell]
O: 0.2193 0.2500 0.4987 [8 per cell]

(5)
The following is a PBE-GGA calculation of CaCd2BiO6 after structural relaxation, from the Alexandria database.

Computed properties:
**Crystal system**: monoclinic
**Energy relative to the elements, uncorrected**: -1.25 eV per atom

Cell lengths 5.8427, 5.9206, 10.1293 Å; angles 90.00, 124.75, 90.00 degrees
Space group P2_1/c (No. 14)
Symmetry-distinct sites (fractional):
Ca: 0.0000 0.0000 0.0000 [2 per cell]
Cd: 0.2276 0.0372 0.7253 [4 per cell]
Bi: 0.5000 0.0000 0.5000 [2 per cell]
O: 0.1454 0.1657 0.4627 [4 per cell]
O: 0.2362 0.7025 0.4028 [4 per cell]
O: 0.3925 0.1022 0.2684 [4 per cell]

(6)
The following is a PBE-GGA calculation of CaCdBi2P after structural relaxation, from the Alexandria database.

Computed properties:
**Crystal system**: tetragonal
**Energy of formation from the pure elements**: -17 meV per atom

Cell lengths 5.5128, 5.5128, 5.3251 Å; angles 90.00, 90.00, 90.00 degrees
Space group P4/mmm (No. 123)
Symmetry-distinct sites (fractional):
Ca: 0.0000 0.0000 0.0000 [1 per cell]
Cd: 0.5000 0.5000 0.0000 [1 per cell]
Bi: 0.0000 0.5000 0.5000 [2 per cell]
P: 0.0000 0.0000 0.5000 [1 per cell]

(7)
The following is a PBE-GGA calculation of CaPuCdBi after structural relaxation, from the Alexandria database.

Computed properties:
**Crystal system**: cubic
**Energy of formation from the pure elements**: -318 meV per atom

Cell lengths 7.7709, 7.7709, 7.7709 Å; angles 90.00, 90.00, 90.00 degrees
Space group F-43m (No. 216)
Symmetry-distinct sites (fractional):
Ca: 0.0000 0.0000 0.0000 [4 per cell]
Pu: 0.0000 0.0000 0.5000 [4 per cell]
Cd: 0.2500 0.2500 0.7500 [4 per cell]
Bi: 0.2500 0.2500 0.2500 [4 per cell]

(8)
The following is a PBE-GGA calculation of Rb2CaCdBi2 after structural relaxation, from the Alexandria database.

Computed properties:
**Crystal system**: orthorhombic
**Energy of formation from the pure elements**: -520 meV per atom

Cell lengths 7.3431, 17.5736, 7.5315 Å; angles 90.00, 90.00, 90.00 degrees
Space group Ibam (No. 72)
Symmetry-distinct sites (fractional):
Rb: 0.2342 0.1751 0.0000 [8 per cell]
Ca: 0.0000 0.5000 0.2500 [4 per cell]
Cd: 0.0000 0.0000 0.2500 [4 per cell]
Bi: 0.2387 0.1009 0.5000 [8 per cell]

(9)
The following is a PBE-GGA calculation of CaCdBiRh after structural relaxation, from the Alexandria database.

Computed properties:
**Crystal system**: cubic
**Energy of formation from the pure elements**: -285 meV per atom

Cell lengths 7.0454, 7.0454, 7.0454 Å; angles 90.00, 90.00, 90.00 degrees
Space group F-43m (No. 216)
Symmetry-distinct sites (fractional):
Ca: 0.0000 0.0000 0.0000 [4 per cell]
Cd: 0.2500 0.2500 0.2500 [4 per cell]
Bi: 0.2500 0.2500 0.7500 [4 per cell]
Rh: 0.0000 0.0000 0.5000 [4 per cell]

(10)
The following is a PBE-GGA calculation of Ca2Cd2Bi2Sb after structural relaxation, from the Alexandria database.

Computed properties:
**Crystal system**: triclinic
**Energy relative to the elements, uncorrected**: -0.43 eV per atom

Cell lengths 4.8071, 6.1305, 7.7949 Å; angles 95.87, 94.71, 104.18 degrees
Space group P-1 (No. 2)
Symmetry-distinct sites (fractional):
Ca: 0.0775 0.1286 0.2598 [2 per cell]
Cd: 0.3237 0.4425 0.8422 [2 per cell]
Bi: 0.2115 0.6700 0.3976 [2 per cell]
Sb: 0.5000 0.0000 0.0000 [1 per cell]

(11)
The following is a PBE-GGA calculation of CaScCdBi after structural relaxation, from the Alexandria database.

Computed properties:
**Crystal system**: cubic
**Energy of formation from the pure elements**: -352 meV per atom

Cell lengths 7.5254, 7.5254, 7.5254 Å; angles 90.00, 90.00, 90.00 degrees
Space group F-43m (No. 216)
Symmetry-distinct sites (fractional):
Ca: 0.0000 0.0000 0.0000 [4 per cell]
Sc: 0.0000 0.0000 0.5000 [4 per cell]
Cd: 0.2500 0.2500 0.7500 [4 per cell]
Bi: 0.2500 0.2500 0.2500 [4 per cell]

(12)
The following is a PBE-GGA calculation of CaCdSiBi2 after structural relaxation, from the Alexandria database.

Computed properties:
**Crystal system**: tetragonal
**Energy relative to the elements, uncorrected**: 0.67 eV per atom

Cell lengths 5.5862, 5.5862, 5.7194 Å; angles 90.00, 90.00, 90.00 degrees
Space group P4/mmm (No. 123)
Symmetry-distinct sites (fractional):
Ca: 0.0000 0.0000 0.0000 [1 per cell]
Cd: 0.0000 0.0000 0.5000 [1 per cell]
Si: 0.5000 0.5000 0.0000 [1 per cell]
Bi: 0.0000 0.5000 0.5000 [2 per cell]

(13)
The following is a PBE-GGA calculation of CaSmCdBi after structural relaxation, from the Alexandria database.

Computed properties:
**Crystal system**: cubic
**Energy of formation from the pure elements**: -468 meV per atom

Cell lengths 7.7780, 7.7780, 7.7780 Å; angles 90.00, 90.00, 90.00 degrees
Space group F-43m (No. 216)
Symmetry-distinct sites (fractional):
Ca: 0.0000 0.0000 0.0000 [4 per cell]
Sm: 0.0000 0.0000 0.5000 [4 per cell]
Cd: 0.2500 0.2500 0.7500 [4 per cell]
Bi: 0.2500 0.2500 0.2500 [4 per cell]

(14)
The following is a PBE-GGA calculation of CaCd2SnBi after structural relaxation, from the Alexandria database.

Computed properties:
**Crystal system**: orthorhombic
**Energy of formation from the pure elements**: -253 meV per atom

Cell lengths 4.7821, 17.5365, 6.5501 Å; angles 90.00, 90.00, 90.00 degrees
Space group Cmcm (No. 63)
Symmetry-distinct sites (fractional):
Ca: 0.0000 0.0995 0.2500 [4 per cell]
Cd: 0.0000 0.2995 0.5093 [8 per cell]
Sn: 0.0000 0.5000 0.0000 [4 per cell]
Bi: 0.0000 0.1031 0.7500 [4 per cell]

(15)
The following is a PBE-GGA calculation of CaTbCdBi after structural relaxation, from the Alexandria database.

Computed properties:
**Crystal system**: cubic
**Energy of formation from the pure elements**: -440 meV per atom

Cell lengths 7.7335, 7.7335, 7.7335 Å; angles 90.00, 90.00, 90.00 degrees
Space group F-43m (No. 216)
Symmetry-distinct sites (fractional):
Ca: 0.0000 0.0000 0.0000 [4 per cell]
Tb: 0.0000 0.0000 0.5000 [4 per cell]
Cd: 0.2500 0.2500 0.7500 [4 per cell]
Bi: 0.2500 0.2500 0.2500 [4 per cell]

(16)
The following is a PBE-GGA calculation of CaYCdBi after structural relaxation, from the Alexandria database.

Computed properties:
**Crystal system**: cubic
**Energy of formation from the pure elements**: -449 meV per atom

Cell lengths 7.7300, 7.7300, 7.7300 Å; angles 90.00, 90.00, 90.00 degrees
Space group F-43m (No. 216)
Symmetry-distinct sites (fractional):
Ca: 0.0000 0.0000 0.0000 [4 per cell]
Y: 0.0000 0.0000 0.5000 [4 per cell]
Cd: 0.2500 0.2500 0.2500 [4 per cell]
Bi: 0.2500 0.2500 0.7500 [4 per cell]

(17)
The following is a PBE-GGA calculation of CaZnCdBi after structural relaxation, from the Alexandria database.

Computed properties:
**Crystal system**: cubic
**Energy of formation from the pure elements**: -202 meV per atom

Cell lengths 7.5454, 7.5454, 7.5454 Å; angles 90.00, 90.00, 90.00 degrees
Space group F-43m (No. 216)
Symmetry-distinct sites (fractional):
Ca: 0.0000 0.0000 0.0000 [4 per cell]
Zn: 0.2500 0.2500 0.2500 [4 per cell]
Cd: 0.0000 0.0000 0.5000 [4 per cell]
Bi: 0.2500 0.2500 0.7500 [4 per cell]

(18)
The following is a PBE-GGA calculation of CaCe4Bi6 after structural relaxation, from the Alexandria database.

Computed properties:
**Crystal system**: trigonal
**Energy of formation from the pure elements**: -625 meV per atom

Cell lengths 12.4774, 12.4774, 16.0572 Å; angles 90.00, 90.00, 120.00 degrees
Space group R-3c (No. 167, hexagonal axes)
Symmetry-distinct sites (fractional):
Ca: 0.0000 0.0000 0.0000 [6 per cell]
Ce: 0.0000 0.0000 0.2500 [6 per cell]
Ce: 0.0000 0.3900 0.2500 [18 per cell]
Bi: 0.0353 0.2152 0.3865 [36 per cell]

(19)
The following is a PBE-GGA calculation of CaCe3Bi12 after structural relaxation, from the Alexandria database.

Computed properties:
**Crystal system**: tetragonal
**Energy of formation from the pure elements**: -439 meV per atom

Cell lengths 4.9577, 4.9577, 19.9603 Å; angles 90.00, 90.00, 90.00 degrees
Space group P4/mmm (No. 123)
Symmetry-distinct sites (fractional):
Ca: 0.0000 0.0000 0.0000 [1 per cell]
Ce: 0.0000 0.0000 0.2541 [2 per cell]
Ce: 0.0000 0.0000 0.5000 [1 per cell]
Bi: 0.0000 0.5000 0.1270 [4 per cell]
Bi: 0.0000 0.5000 0.3766 [4 per cell]
Bi: 0.5000 0.5000 0.0000 [1 per cell]
Bi: 0.5000 0.5000 0.2509 [2 per cell]
Bi: 0.5000 0.5000 0.5000 [1 per cell]

(20)
The following is a PBE-GGA calculation of CaCe3Bi4 after structural relaxation, from the Alexandria database.

Computed properties:
**Crystal system**: orthorhombic
**Energy of formation from the pure elements**: -791 meV per atom

Cell lengths 9.2007, 13.0089, 4.6166 Å; angles 90.00, 90.00, 90.00 degrees
Space group Cmmm (No. 65)
Symmetry-distinct sites (fractional):
Ca: 0.0000 0.0000 0.0000 [2 per cell]
Ce: 0.0000 0.5000 0.0000 [2 per cell]
Ce: 0.2500 0.2500 0.5000 [4 per cell]
Bi: 0.0000 0.2515 0.0000 [4 per cell]
Bi: 0.2456 0.5000 0.5000 [4 per cell]

(21)
The following is a PBE-GGA calculation of Ca2CeBi5 after structural relaxation, from the Alexandria database.

Computed properties:
**Crystal system**: orthorhombic
**Energy of formation from the pure elements**: -571 meV per atom

Cell lengths 7.1019, 8.3376, 8.3584 Å; angles 90.00, 90.00, 90.00 degrees
Space group Immm (No. 71)
Symmetry-distinct sites (fractional):
Ca: 0.0000 0.0000 0.0000 [2 per cell]
Ca: 0.0000 0.5000 0.5000 [2 per cell]
Ce: 0.0000 0.0000 0.5000 [2 per cell]
Bi: 0.0000 0.5000 0.0000 [2 per cell]
Bi: 0.2500 0.2500 0.2500 [8 per cell]

(22)
The following is a PBE-GGA calculation of CaCeBi2 after structural relaxation, from the Alexandria database.

Computed properties:
**Crystal system**: tetragonal
**Energy of formation from the pure elements**: -661 meV per atom

Cell lengths 4.1885, 4.1885, 7.0664 Å; angles 90.00, 90.00, 90.00 degrees
Space group P4/mmm (No. 123)
Symmetry-distinct sites (fractional):
Ca: 0.0000 0.0000 0.0000 [1 per cell]
Ce: 0.0000 0.0000 0.5000 [1 per cell]
Bi: 0.5000 0.5000 0.2561 [2 per cell]

(23)
The following is a PBE-GGA calculation of CaCeBi2 after structural relaxation, from the Alexandria database.

Computed properties:
**Crystal system**: trigonal
**Energy of formation from the pure elements**: -672 meV per atom

Cell lengths 4.4915, 4.4915, 23.8798 Å; angles 90.00, 90.00, 120.00 degrees
Space group R3m (No. 160, hexagonal axes)
Symmetry-distinct sites (fractional):
Ca: 0.0000 0.0000 0.0000 [3 per cell]
Ce: 0.0000 0.0000 0.8296 [3 per cell]
Bi: 0.0000 0.0000 0.4156 [3 per cell]
Bi: 0.0000 0.0000 0.5795 [3 per cell]

(24)
The following is a PBE-GGA calculation of CaCe3Bi4 after structural relaxation, from the Alexandria database.

Computed properties:
**Crystal system**: orthorhombic
**Energy of formation from the pure elements**: -545 meV per atom

Cell lengths 6.4181, 11.1351, 9.6319 Å; angles 90.00, 90.00, 90.00 degrees
Space group Pmmn (No. 59, origin choice 2)
Symmetry-distinct sites (fractional):
Ca: 0.2500 0.2500 0.1721 [2 per cell]
Ce: 0.2500 0.5015 0.6689 [4 per cell]
Ce: 0.2500 0.7500 0.1583 [2 per cell]
Bi: 0.2500 0.2500 0.8314 [2 per cell]
Bi: 0.2500 0.5087 0.3371 [4 per cell]
Bi: 0.2500 0.7500 0.8286 [2 per cell]